TiMnIO2 PBE with a Hubbard U relaxed; SG = P4/mmm; M_tot = 0.93 μB/atom; relative energy among the computed polymorphs = 0.000 eV per atom; calculated volume = 89.6 Å³/f.u.
1.0
3.924 0.000 0.000
0.000 3.924 0.000
0.000 0.000 5.821
I Mn O Ti
1 1 2 1
Cartesian
0.000 0.000 2.910 I
1.962 1.962 2.910 Mn
0.000 1.962 0.000 O
1.962 0.000 0.000 O
0.000 0.000 0.000 Ti